(1)
A plane-wave DFT calculation with GGA-PBE was carried out for a relaxed LiTi2Ga crystal.

Summary:
ΔE_f	-0.131	eV per atom
space-group type	P4/mmm (123)
total moment	0.36	μB/f.u.
calculated volume	15.62	Å³/atom
VASP energy	-21.255	eV/cell
N(E_F)	4.130	states/eV per cell

Geometry as POSCAR:
```
LiTi2Ga
1.0
-0.512 -3.265 1.987
1.950 -2.049 -2.864
3.480 0.625 1.923
Li Ga Ti
1 1 2
Cartesian
2.460 -2.344 0.523
-0.256 -1.632 0.994
1.740 0.313 0.961
0.975 -1.024 -1.432
```

=====

(2)
A plane-wave DFT calculation with GGA-PBE was carried out for a relaxed LiTi2Ga2 crystal.

Summary:
ΔE_f	-0.245	eV per atom
space-group type	P4/mbm (127)
total moment	0.00	μB/f.u.
calculated volume	16.47	Å³/atom
VASP energy	-49.969	eV/cell
N(E_F)	12.756	states/eV per cell
energy above the lowest structure with this stoichiometry	0	kJ/mol of formula units

Geometry as POSCAR:
```
LiTi2Ga2
1.0
-1.584 -3.235 -5.709
6.107 -2.876 -0.065
-1.286 -2.774 1.929
Li Ga Ti
2 4 4
Cartesian
0.000 0.000 0.000
2.262 -3.056 -2.887
4.721 -3.691 -2.161
2.480 -4.626 -5.000
-0.198 -2.421 -3.613
2.043 -1.485 -0.774
3.193 -3.881 -0.066
3.343 -5.943 -2.931
0.045 -5.004 -3.780
-0.106 -2.942 -0.915
```

=====

(3)
A plane-wave DFT calculation with GGA-PBE was carried out for a relaxed LiTi2Ga9 crystal.

Summary:
ΔE_f	-0.267	eV per atom
space-group type	P4/mmm (123)
total moment	0.00	μB/f.u.
calculated volume	16.17	Å³/atom
VASP energy	-48.153	eV/cell
N(E_F)	5.413	states/eV per cell

Geometry as POSCAR:
```
LiTi2Ga9
1.0
-1.263 3.642 0.989
-3.436 -1.541 1.286
4.805 -1.373 11.189
Li Ti Ga
1 2 9
Cartesian
0.000 0.000 0.000
1.639 -0.468 3.816
3.167 -0.905 7.373
-2.350 1.050 1.138
-0.751 0.593 4.861
0.857 0.134 8.604
0.173 1.591 2.368
1.771 1.134 6.089
3.369 0.677 9.810
-0.913 -1.001 2.516
0.685 -1.457 6.238
2.283 -1.914 9.959
```

=====

(4)
A plane-wave DFT calculation with GGA-PBE was carried out for a relaxed Li2TiGa crystal.

Summary:
ΔE_f	0.254	eV per atom
space-group type	I-42d (122)
total moment	1.21	μB/f.u.
calculated volume	17.15	Å³/atom
VASP energy	-27.466	eV/cell
N(E_F)	5.086	states/eV per cell

Geometry as POSCAR:
```
Li2TiGa
1.0
7.172 0.000 0.000
0.000 7.172 0.000
3.586 3.586 2.667
Li Ga Ti
4 2 2
Cartesian
5.545 1.793 0.667
1.628 5.379 0.667
5.379 5.214 2.000
8.965 9.131 2.000
0.000 0.000 0.000
7.172 3.586 1.333
3.586 3.586 0.000
3.586 7.172 1.333
```

=====

(5)
A plane-wave DFT calculation with GGA-PBE was carried out for a relaxed Li2TiGa2 crystal.

Summary:
ΔE_f	-0.215	eV per atom
space-group type	P4/mbm (127)
total moment	0.00	μB/f.u.
calculated volume	14.67	Å³/atom
VASP energy	-37.703	eV/cell
N(E_F)	3.118	states/eV per cell
energy above the lowest structure with this stoichiometry	0	kJ/mol of formula units

Geometry as POSCAR:
```
Li2TiGa2
1.0
7.390 0.000 0.000
0.000 7.390 0.000
0.000 0.000 2.686
Li Ga Ti
4 4 2
Cartesian
2.842 6.537 0.000
6.537 4.548 0.000
4.548 0.853 0.000
0.853 2.842 0.000
1.357 5.052 1.343
5.052 6.033 1.343
6.033 2.338 1.343
2.338 1.357 1.343
0.000 0.000 0.000
3.695 3.695 0.000
```

=====

(6)
A plane-wave DFT calculation with GGA-PBE was carried out for a relaxed Li2TiGa crystal.

Summary:
ΔE_f	0.113	eV per atom
space-group type	R-3m (166)
total moment	0.00	μB/f.u.
calculated volume	16.93	Å³/atom
VASP energy	-14.299	eV/cell
N(E_F)	3.471	states/eV per cell

Geometry as POSCAR:
```
Li2TiGa
1.0
-2.513 -0.447 -1.083
-0.555 -2.401 -1.271
-4.126 -4.911 8.054
Li Ga Ti
2 1 1
Cartesian
-3.290 -3.844 5.674
-3.904 -3.915 0.026
-3.597 -3.880 2.850
0.000 0.000 0.000
```

=====

(7)
A plane-wave DFT calculation with GGA-PBE was carried out for a relaxed LiTi2Ga crystal.

Summary:
ΔE_f	0.178	eV per atom
space-group type	I-42d (122)
total moment	0.00	μB/f.u.
calculated volume	16.21	Å³/atom
VASP energy	-40.037	eV/cell
N(E_F)	7.324	states/eV per cell

Geometry as POSCAR:
```
LiTi2Ga
1.0
7.228 0.000 0.000
0.000 7.228 0.000
3.614 3.614 2.482
Li Ga Ti
2 2 4
Cartesian
3.614 3.614 0.000
3.614 7.228 1.241
0.000 0.000 0.000
7.228 3.614 1.241
5.419 1.807 0.621
1.810 5.421 0.621
5.421 5.424 1.862
9.035 9.033 1.862
```

=====

(8)
A plane-wave DFT calculation with GGA-PBE was carried out for a relaxed LiTi3Ga4 crystal.

Summary:
ΔE_f	-0.347	eV per atom
space-group type	I4/mmm (139)
total moment	0.00	μB/f.u.
calculated volume	15.69	Å³/atom
VASP energy	-40.479	eV/cell
N(E_F)	4.459	states/eV per cell

Geometry as POSCAR:
```
LiTi3Ga4
1.0
4.424 0.000 -1.194
-0.318 4.417 -1.178
-0.551 -0.621 6.750
Ti Ga Li
3 4 1
Cartesian
-0.159 2.209 -0.589
2.979 0.808 2.244
0.576 2.988 2.134
1.141 1.208 4.228
2.414 2.589 0.150
0.360 0.383 1.335
3.195 3.414 3.043
2.212 0.000 -0.597
```

=====

Repeat the eighth record exactly.
A plane-wave DFT calculation with GGA-PBE was carried out for a relaxed LiTi3Ga4 crystal.

Summary:
ΔE_f	-0.347	eV per atom
space-group type	I4/mmm (139)
total moment	0.00	μB/f.u.
calculated volume	15.69	Å³/atom
VASP energy	-40.479	eV/cell
N(E_F)	4.459	states/eV per cell

Geometry as POSCAR:
```
LiTi3Ga4
1.0
4.424 0.000 -1.194
-0.318 4.417 -1.178
-0.551 -0.621 6.750
Ti Ga Li
3 4 1
Cartesian
-0.159 2.209 -0.589
2.979 0.808 2.244
0.576 2.988 2.134
1.141 1.208 4.228
2.414 2.589 0.150
0.360 0.383 1.335
3.195 3.414 3.043
2.212 0.000 -0.597
```